CuAg2BSe | Alexandria via LeMat-Bulk | PBE | optimized geometry; uncorrected formation energy = 0.79 eV/atom; spin magnetization = 0.00 μB/cell; calculated density = 6.6 g/cm³
1.0
-1.276 2.314 -4.190
-3.313 -1.885 -0.032
-2.091 3.631 2.642
Ag Cu B Se
2 1 1 1
direct
0.500 0.000 0.000
0.000 0.000 0.500
0.000 0.000 0.000
0.000 0.500 0.000
0.500 0.500 0.500



CsRbLi2I4 | Alexandria via LeMat-Bulk | PBE | optimized geometry; uncorrected formation energy = -1.29 eV/atom; spin magnetization = 0.00 μB/cell; calculated density = 3.5 g/cm³
1.0
5.896 0.000 0.000
0.000 5.896 0.000
0.000 0.000 10.129
I Cs Rb Li
4 1 1 2
direct
0.500 0.000 0.240
0.000 0.500 0.240
0.500 0.000 0.760
0.000 0.500 0.760
0.000 0.000 0.500
0.000 0.000 0.000
0.500 0.500 0.239
0.500 0.500 0.761



InOsS2Cl | Alexandria via LeMat-Bulk | PBE | optimized geometry; uncorrected formation energy = 0.08 eV/atom; energy relative to the lowest polymorph listed for this composition = 0 kJ/mol of formula units; spin magnetization = 0.00 μB/cell; calculated density = 6.2 g/cm³
1.0
4.598 0.000 0.000
0.000 4.598 0.000
0.000 0.000 5.160
In S Cl Os
1 2 1 1
direct
0.500 0.500 0.500
0.000 0.500 0.000
0.500 0.000 0.000
0.000 0.000 0.500
0.000 0.000 0.000